Record 1
DFT (GGA-PBE) results for an optimized crystal structure of Mn2NiOs.

Total energy: -8.701 eV/atom
Total magnetization: 1.33 μB per formula unit

a b c (Å): 2.6325 2.6325 24.8551
angles (deg): 90.00 90.00 120.00
Space group R3m (No. 160, hexagonal axes)
One atom of each set of equivalent atoms:
1 Mn 0.0000 0.0000 0.0000 [3 per cell]
2 Mn 0.0000 0.0000 0.2536 [3 per cell]
3 Ni 0.0000 0.0000 0.7479 [3 per cell]
4 Os 0.0000 0.0000 0.5021 [3 per cell]

Record 2
DFT (GGA-PBE) results for an optimized crystal structure of CdAg4.

Offset from the most stable computed form: 0.009 eV per atom
Total energy: -2.482 eV/atom
Total magnetization: 0.00 μB per formula unit

a b c (Å): 3.0589 4.0230 14.9897
angles (deg): 90.00 90.00 90.00
Space group Immm (No. 71)
One atom of each set of equivalent atoms:
1 Cd 0.0000 0.0000 0.0000 [2 per cell]
2 Ag 0.0000 0.0000 0.2011 [4 per cell]
3 Ag 0.0000 0.0000 0.3982 [4 per cell]